Density functional theory data (GGA-PBE) for crystalline KSb2TeAu at its relaxed geometry.

Computed properties:
- formation energy without anion corrections (eV per atom) = 0.091
- E (eV/atom) = -3.061
- symmetry = P4/mmm
- E above lowest polymorph (meV/atom) = 0.0

abc: 5.4635 5.4635 5.8049
angles: 90.00 90.00 90.00
Sites, in units of the cell vectors:
K (0.5000, 0.5000, 0.5000)
Sb (0.5000, 0.0000, 0.0000)
Sb (0.0000, 0.5000, 0.0000)
Au (0.0000, 0.0000, 0.0000)
Te (0.0000, 0.0000, 0.5000)